Here is an optimized crystal structure of CaMgCoHNF from the Alexandria database. Energies are from PBE with a Hubbard U.

Relative energy among the computed polymorphs, kcal/mol of atoms: 2.321
SG: No. 44

Cell: 3.2270 3.2285 13.9055 Å, 90.00 90.00 90.00°
Site moments in Bohr magnetons follow the coordinates.
Positions (direct):
Co (0.5000, 0.5000, 0.6788)  2.10
Co (0.0000, 0.0000, 0.1788)  2.10
Ca (0.5000, 0.5000, 0.3677)  -0.04
Ca (0.0000, 0.0000, 0.8677)  -0.04
Mg (0.5000, 0.5000, 0.0561)  0.00
Mg (0.0000, 0.0000, 0.5561)  0.00
H (0.0000, 0.5000, 0.2457)  -0.01
H (0.5000, 0.0000, 0.7457)  -0.01
N (0.5000, 0.5000, 0.5470)  0.16
N (0.0000, 0.0000, 0.0470)  0.16
F (0.5000, 0.5000, 0.9041)  0.00
F (0.0000, 0.0000, 0.4041)  0.00